[1]
# AcScGaPt

A relaxed AcScGaPt crystal (GGA-PBE, Alexandria via LeMat-Bulk).

abc: 5.138 5.138 5.138
angles: 60.00 60.00 60.00
Fractional coordinates of all 4 atoms:
Ac  0.000  0.000  0.000
Sc  0.500  0.500  0.500
Ga  0.250  0.250  0.250
Pt  0.750  0.750  0.750

The calculation puts the formation energy at -0.617 eV per atom. The symmetry is F-43m (216).

---

[2]
# Ac2Ga4SiPt3

A relaxed Ac2Ga4SiPt3 crystal (GGA-PBE, Alexandria via LeMat-Bulk).

abc: 4.506 4.506 10.235
angles: 90.00 90.00 90.00
Fractional coordinates of all 10 atoms:
Ac  0.000  0.500  0.247
Ac  0.500  0.000  0.753
Ga  0.000  0.000  0.500
Ga  0.000  0.500  0.871
Ga  0.500  0.000  0.129
Ga  0.500  0.500  0.500
Si  0.500  0.500  0.000
Pt  0.000  0.000  0.000
Pt  0.000  0.500  0.625
Pt  0.500  0.000  0.375

The uncorrected formation energy comes out at -0.852 eV per atom. The symmetry is P-4m2 (115).

---

[3]
# AcGa2SiPt

A relaxed AcGa2SiPt crystal (GGA-PBE, Alexandria via LeMat-Bulk).

abc: 6.092 6.092 6.092
angles: 137.97 137.08 61.63
Fractional coordinates of all 5 atoms:
Ac  0.000  0.000  0.000
Ga  0.617  0.617  0.000
Ga  0.749  0.249  0.500
Si  0.373  0.373  0.000
Pt  0.258  0.758  0.500

The uncorrected formation energy comes out at -0.736 eV per atom. The symmetry is Imm2 (44).

---

[4]
# Ac2GaSiPt6

A relaxed Ac2GaSiPt6 crystal (GGA-PBE, Alexandria via LeMat-Bulk).

abc: 6.571 6.607 6.762
angles: 62.27 61.63 60.44
Fractional coordinates of all 10 atoms:
Ac  0.223  0.223  0.334
Ac  0.777  0.777  0.666
Ga  0.500  0.500  0.500
Si  0.000  0.000  0.000
Pt  0.243  0.662  0.846
Pt  0.248  0.243  0.833
Pt  0.330  0.759  0.162
Pt  0.670  0.241  0.838
Pt  0.752  0.757  0.167
Pt  0.757  0.338  0.154

The uncorrected formation energy comes out at -0.920 eV per atom. The symmetry is P-1 (2).

---

[5]
# Ac3GaSi2Pt8

A relaxed Ac3GaSi2Pt8 crystal (GGA-PBE, Alexandria via LeMat-Bulk).

abc: 5.655 5.655 10.340
angles: 90.00 90.00 120.00
Fractional coordinates of all 14 atoms:
Ac  0.000  0.000  0.000
Ac  0.333  0.667  0.584
Ac  0.667  0.333  0.416
Ga  0.000  0.000  0.500
Si  0.333  0.667  0.118
Si  0.667  0.333  0.882
Pt  0.165  0.329  0.285
Pt  0.165  0.835  0.285
Pt  0.329  0.165  0.715
Pt  0.333  0.667  0.898
Pt  0.667  0.333  0.102
Pt  0.671  0.835  0.285
Pt  0.835  0.165  0.715
Pt  0.835  0.671  0.715

The uncorrected formation energy comes out at -0.864 eV per atom. The symmetry is P-3m1 (164).

---

[6]
# Ac3GaSi2Pt6

A relaxed Ac3GaSi2Pt6 crystal (GGA-PBE, Alexandria via LeMat-Bulk).

abc: 5.785 5.785 9.847
angles: 90.00 90.00 120.00
Fractional coordinates of all 12 atoms:
Ac  0.000  0.000  0.000
Ac  0.333  0.667  0.602
Ac  0.667  0.333  0.398
Ga  0.000  0.000  0.500
Si  0.333  0.667  0.114
Si  0.667  0.333  0.886
Pt  0.164  0.328  0.286
Pt  0.164  0.836  0.286
Pt  0.328  0.164  0.714
Pt  0.672  0.836  0.286
Pt  0.836  0.164  0.714
Pt  0.836  0.672  0.714

The uncorrected formation energy comes out at -0.868 eV per atom. The symmetry is P-3m1 (164).

---

[7]
# AcGaSiPt6

A relaxed AcGaSiPt6 crystal (GGA-PBE, Alexandria via LeMat-Bulk).

abc: 8.085 8.085 8.085
angles: 123.91 116.25 89.99
Fractional coordinates of all 18 atoms:
Ac  0.396  0.146  0.250
Ac  0.604  0.854  0.750
Ga  0.000  0.000  0.500
Ga  0.000  0.500  0.000
Si  0.000  0.500  0.500
Si  0.500  0.500  0.000
Pt  0.109  0.380  0.242
Pt  0.109  0.867  0.729
Pt  0.135  0.885  0.250
Pt  0.341  0.591  0.750
Pt  0.362  0.133  0.742
Pt  0.362  0.620  0.229
Pt  0.638  0.380  0.771
Pt  0.638  0.867  0.258
Pt  0.659  0.409  0.250
Pt  0.865  0.115  0.750
Pt  0.891  0.133  0.271
Pt  0.891  0.620  0.758

The uncorrected formation energy comes out at -0.545 eV per atom. The symmetry is Imma (74).

---

[8]
# Ac3GaSi2Pt9

A relaxed Ac3GaSi2Pt9 crystal (GGA-PBE, Alexandria via LeMat-Bulk).

abc: 6.465 6.465 9.031
angles: 90.00 90.00 120.00
Fractional coordinates of all 15 atoms:
Ac  0.000  0.000  0.000
Ac  0.333  0.667  0.667
Ac  0.667  0.333  0.333
Ga  0.000  0.000  0.500
Si  0.333  0.667  0.181
Si  0.667  0.333  0.819
Pt  0.000  0.500  0.000
Pt  0.146  0.292  0.288
Pt  0.146  0.854  0.288
Pt  0.292  0.146  0.712
Pt  0.500  0.000  0.000
Pt  0.500  0.500  0.000
Pt  0.708  0.854  0.288
Pt  0.854  0.146  0.712
Pt  0.854  0.708  0.712

The uncorrected formation energy comes out at -0.830 eV per atom. The symmetry is P-3m1 (164).

---

[9]
# Ac2Ga3SiPt4

A relaxed Ac2Ga3SiPt4 crystal (GGA-PBE, Alexandria via LeMat-Bulk).

abc: 4.445 4.445 10.326
angles: 90.00 90.00 90.00
Fractional coordinates of all 10 atoms:
Ac  0.000  0.500  0.245
Ac  0.500  0.000  0.755
Ga  0.000  0.000  0.000
Ga  0.000  0.500  0.628
Ga  0.500  0.000  0.372
Si  0.500  0.500  0.000
Pt  0.000  0.000  0.500
Pt  0.000  0.500  0.880
Pt  0.500  0.000  0.120
Pt  0.500  0.500  0.500

The uncorrected formation energy comes out at -0.990 eV per atom. The symmetry is P-4m2 (115).

---

[10]
# AcGa2SiPt5

A relaxed AcGa2SiPt5 crystal (GGA-PBE, Alexandria via LeMat-Bulk).

abc: 7.602 7.602 7.602
angles: 144.45 135.63 58.10
Fractional coordinates of all 9 atoms:
Ac  0.000  0.000  0.000
Ga  0.306  0.806  0.500
Ga  0.694  0.194  0.500
Si  0.500  0.500  0.000
Pt  0.101  0.349  0.752
Pt  0.404  0.651  0.752
Pt  0.500  0.000  0.500
Pt  0.596  0.349  0.248
Pt  0.899  0.651  0.248

The uncorrected formation energy comes out at -0.654 eV per atom. The symmetry is Immm (71).

---

[11]
# Ac2Ga2SiPt4

A relaxed Ac2Ga2SiPt4 crystal (GGA-PBE, Alexandria via LeMat-Bulk).

abc: 6.433 6.433 6.433
angles: 117.79 117.79 93.88
Fractional coordinates of all 9 atoms:
Ac  0.250  0.750  0.500
Ac  0.750  0.250  0.500
Ga  0.162  0.162  0.000
Ga  0.838  0.838  0.000
Si  0.500  0.500  0.000
Pt  0.242  0.242  0.484
Pt  0.242  0.758  0.000
Pt  0.758  0.242  0.000
Pt  0.758  0.758  0.516

The uncorrected formation energy comes out at -0.842 eV per atom. The symmetry is I4/mmm (139).

---

[12]
# Ac2SmGa2Pt7

A relaxed Ac2SmGa2Pt7 crystal (GGA-PBE, Alexandria via LeMat-Bulk).

abc: 4.226 4.226 14.295
angles: 95.22 95.22 89.55
Fractional coordinates of all 12 atoms:
Ac  0.096  0.096  0.355
Ac  0.904  0.904  0.645
Sm  0.000  0.000  0.000
Ga  0.426  0.426  0.754
Ga  0.574  0.574  0.246
Pt  0.045  0.545  0.150
Pt  0.398  0.398  0.578
Pt  0.455  0.955  0.850
Pt  0.500  0.500  0.000
Pt  0.545  0.045  0.150
Pt  0.602  0.602  0.422
Pt  0.955  0.455  0.850

The calculation puts the formation energy at -0.990 eV per atom. The symmetry is C2/m (12).

---

[13]
# AcSmGa2Pt2

A relaxed AcSmGa2Pt2 crystal (GGA-PBE, Alexandria via LeMat-Bulk).

abc: 4.525 4.525 7.722
angles: 90.00 90.00 120.00
Fractional coordinates of all 6 atoms:
Ac  0.000  0.000  0.000
Sm  0.000  0.000  0.500
Ga  0.333  0.667  0.719
Ga  0.667  0.333  0.281
Pt  0.333  0.667  0.276
Pt  0.667  0.333  0.724

The calculation puts the formation energy at -1.008 eV per atom. The symmetry is P-3m1 (164).

---

[14]
# Ac2SmGa3Pt4

A relaxed Ac2SmGa3Pt4 crystal (GGA-PBE, Alexandria via LeMat-Bulk).

abc: 4.437 4.437 11.387
angles: 90.00 90.00 90.00
Fractional coordinates of all 10 atoms:
Ac  0.000  0.500  0.229
Ac  0.500  0.000  0.771
Sm  0.000  0.000  0.500
Ga  0.000  0.500  0.885
Ga  0.500  0.000  0.115
Ga  0.500  0.500  0.500
Pt  0.000  0.000  0.000
Pt  0.000  0.500  0.660
Pt  0.500  0.000  0.340
Pt  0.500  0.500  0.000

The calculation puts the formation energy at -0.976 eV per atom. The symmetry is P-4m2 (115).

---

[15]
# AcSmGaPt

A relaxed AcSmGaPt crystal (GGA-PBE, Alexandria via LeMat-Bulk).

abc: 5.297 5.297 5.297
angles: 60.00 60.00 60.00
Fractional coordinates of all 4 atoms:
Ac  0.000  0.000  0.000
Sm  0.500  0.500  0.500
Ga  0.750  0.750  0.750
Pt  0.250  0.250  0.250

The calculation puts the formation energy at -0.689 eV per atom. The symmetry is F-43m (216).

---

[16]
# AcGaSnPt

A relaxed AcGaSnPt crystal (GGA-PBE, Alexandria via LeMat-Bulk).

abc: 5.148 5.148 5.148
angles: 60.00 60.00 60.00
Fractional coordinates of all 4 atoms:
Ac  0.000  0.000  0.000
Ga  0.750  0.750  0.750
Sn  0.500  0.500  0.500
Pt  0.250  0.250  0.250

The calculation puts the formation energy at -0.600 eV per atom. The symmetry is F-43m (216).

---

[17]
# AcGaSnPt2

A relaxed AcGaSnPt2 crystal (GGA-PBE, Alexandria via LeMat-Bulk).

abc: 6.480 6.480 6.480
angles: 139.67 139.67 58.36
Fractional coordinates of all 5 atoms:
Ac  0.000  0.000  0.000
Ga  0.250  0.750  0.500
Sn  0.750  0.250  0.500
Pt  0.379  0.379  0.000
Pt  0.621  0.621  0.000

The calculation puts the formation energy at -0.902 eV per atom. The symmetry is I-4m2 (119).

---

[18]
# Ac2Ga4SnPt3

A relaxed Ac2Ga4SnPt3 crystal (GGA-PBE, Alexandria via LeMat-Bulk).

abc: 4.480 4.480 10.790
angles: 90.00 90.00 90.00
Fractional coordinates of all 10 atoms:
Ac  0.000  0.500  0.239
Ac  0.500  0.000  0.761
Ga  0.000  0.000  0.000
Ga  0.000  0.500  0.647
Ga  0.500  0.000  0.353
Ga  0.500  0.500  0.000
Sn  0.000  0.000  0.500
Pt  0.000  0.500  0.879
Pt  0.500  0.000  0.121
Pt  0.500  0.500  0.500

The calculation puts the formation energy at -0.858 eV per atom. The symmetry is P-4m2 (115).

---

[19]
# Ac3Ga2SnPt6

A relaxed Ac3Ga2SnPt6 crystal (GGA-PBE, Alexandria via LeMat-Bulk).

abc: 5.910 5.910 9.489
angles: 90.00 90.00 120.00
Fractional coordinates of all 12 atoms:
Ac  0.000  0.000  0.000
Ac  0.333  0.667  0.624
Ac  0.667  0.333  0.376
Ga  0.333  0.667  0.067
Ga  0.667  0.333  0.933
Sn  0.000  0.000  0.500
Pt  0.172  0.345  0.278
Pt  0.172  0.828  0.278
Pt  0.345  0.172  0.722
Pt  0.655  0.828  0.278
Pt  0.828  0.172  0.722
Pt  0.828  0.655  0.722

The calculation puts the formation energy at -0.828 eV per atom. The symmetry is P-3m1 (164).

---

[20]
# Ac2GaSn4Pt3

A relaxed Ac2GaSn4Pt3 crystal (GGA-PBE, Alexandria via LeMat-Bulk).

abc: 4.731 4.731 10.845
angles: 90.00 90.00 90.00
Fractional coordinates of all 10 atoms:
Ac  0.000  0.500  0.244
Ac  0.500  0.000  0.756
Ga  0.500  0.500  0.000
Sn  0.000  0.000  0.500
Sn  0.000  0.500  0.869
Sn  0.500  0.000  0.131
Sn  0.500  0.500  0.500
Pt  0.000  0.000  0.000
Pt  0.000  0.500  0.625
Pt  0.500  0.000  0.375

The calculation puts the formation energy at -0.820 eV per atom. The symmetry is P-4m2 (115).

---

Magnetization per entry: 0.000 0.000 0.000 0.000 0.000 0.000 0.000 0.000 0.000 0.000 0.000 0.000 0.000 0.000 0.000 0.000 0.000 0.000 0.000 0.000 μB per formula unit
N(E_F) per entry: 4.4 6.6 1.3 3.1 6.6 5.7 6.8 4.3 5.2 3.2 4.1 2.8 4.7 4.9 3.5 1.0 1.7 7.7 6.6 4.7 states/eV/cell